1.
Entry from Alexandria: a geometry-optimized LiNdZn2Au4 structure (PBE).

Cell: 8.8909 8.8909 8.8909 Å, 29.47 29.47 29.47°
Fractional positions:
Li 0.0000 0.0000 0.0000
Nd 0.5000 0.5000 0.5000
Zn 0.2597 0.2597 0.2597
Zn 0.7403 0.7403 0.7403
Au 0.1014 0.1014 0.1014
Au 0.3697 0.3697 0.3697
Au 0.6303 0.6303 0.6303
Au 0.8986 0.8986 0.8986

energy of formation: -4.16 eV/f.u.
M_tot: 0.00 μB per formula unit
E: -26.5 eV/cell



2.
Entry from Alexandria: a geometry-optimized LiNi2Au2 structure (PBE).

Cell: 7.5054 7.5054 2.7514 Å, 90.00 90.00 90.00°
Fractional positions:
Li 0.0000 0.0000 0.0000
Li 0.5000 0.5000 0.0000
Ni 0.1132 0.3868 0.0000
Ni 0.3868 0.8868 0.0000
Ni 0.6132 0.1132 0.0000
Ni 0.8868 0.6132 0.0000
Au 0.1830 0.6830 0.5000
Au 0.3170 0.1830 0.5000
Au 0.6830 0.8170 0.5000
Au 0.8170 0.3170 0.5000

energy of formation: -0.18 eV/f.u.
M_tot: 0.56 μB per formula unit
E: -40.4 eV/cell
energy above the lowest structure with this stoichiometry: 0.000 eV/atom



3.
Entry from Alexandria: a geometry-optimized LiNi2Au structure (PBE).

Cell: 4.4850 4.4850 4.4850 Å, 130.18 130.01 73.25°
Fractional positions:
Li 0.0000 0.0000 0.0000
Ni 0.2503 0.7503 0.5000
Ni 0.4993 0.4993 0.0000
Au 0.7497 0.2497 0.5000

energy of formation: -0.25 eV/f.u.
M_tot: 0.87 μB per formula unit
E: -17.0 eV/cell



4.
Entry from Alexandria: a geometry-optimized LiNiAu structure (PBE).

Cell: 4.6240 4.6240 4.6240 Å, 145.85 130.40 61.60°
Fractional positions:
Li 0.0000 0.0000 0.0000
Ni 0.6682 0.6682 0.0000
Au 0.3299 0.3299 0.0000

energy of formation: -0.40 eV/f.u.
M_tot: 0.00 μB per formula unit
E: -11.4 eV/cell
energy above the lowest structure with this stoichiometry: 0.103 eV/atom